Computed, not measured: a geometry-optimized CsAg3GeS4 structure at the PBE level of DFT.

Its energy above the lowest structure with this stoichiometry is 0.000 eV/atom.

It has space group P2_1/m (No. 11), with a = 6.357 Å, b = 7.621 Å, c = 10.576 Å, α = 90.00°, β = 105.71° and γ = 90.00°. The distinct sites, in fractional coordinates, are Cs at (0.166, 0.250, 0.359), Ag at (0.302, 0.552, 0.037), Ag at (0.428, 0.750, 0.287), Ge at (0.127, 0.250, 0.785), S at (0.042, 0.250, 0.982), S at (0.142, 0.750, 0.398) and S at (0.333, 0.007, 0.785).